Computed, not measured: a geometry-optimized TlIn4Sn structure at the PBE level of DFT.

Properties
Formation enthalpy at 0 K ... 101 meV per atom
D(E_F) ... 0.67 states/eV per atom
Offset from the most stable computed form ... 0.084 eV per atom

a b c (Å): 6.2650 6.2650 6.2650
angles (deg): 60.00 60.00 60.00
Element x y z (fractional)
Tl (0.0000, 0.0000, 0.0000)
In (0.1254, 0.6249, 0.6249)
In (0.6249, 0.1254, 0.6249)
In (0.6249, 0.6249, 0.1254)
In (0.6249, 0.6249, 0.6249)
Sn (0.2500, 0.2500, 0.2500)